No. 1
Material: BaHg3
Method: DFT, meta-GGA SCAN
State: single point on PBEsol structure

Energy   -61.47 eV per atom
M_tot   0.0 μB per cell
Density of states at the Fermi level   1.8 states/eV per cell

Structure (POSCAR):
```
BaHg3
1.0
4.038 0.000 0.031
0.000 4.129 0.000
-1.049 0.000 6.923
Hg Ba
3 1
direct
0.446 0.500 0.712
0.000 0.000 0.500
0.554 0.500 0.288
0.000 0.000 0.000
```

---

No. 2
Material: BaHg3
Method: DFT, meta-GGA SCAN
State: single point on PBEsol structure

Energy   -61.51 eV per atom
M_tot   0.0 μB per cell
Density of states at the Fermi level   2.6 states/eV per cell

Structure (POSCAR):
```
BaHg3
1.0
4.804 0.000 0.000
0.000 5.430 0.000
-2.402 -2.715 4.355
Hg Ba
3 1
direct
0.769 0.269 0.538
0.500 0.500 0.000
0.231 0.731 0.462
0.000 0.000 0.000
```

---

No. 3
Material: Ba2Hg
Method: DFT, meta-GGA SCAN
State: single point on PBEsol structure

Energy   -49.53 eV per atom
M_tot   0.0 μB per cell
Density of states at the Fermi level   13.3 states/eV per cell

Structure (POSCAR):
```
Ba2Hg
1.0
-2.138 4.518 2.395
-7.384 -4.417 1.742
6.575 0.027 5.817
Hg Ba
3 6
direct
0.000 0.667 0.333
0.000 0.333 0.667
0.500 0.000 0.000
0.000 0.742 0.742
0.000 0.000 0.258
0.000 0.258 0.000
0.500 0.409 0.409
0.500 0.000 0.591
0.500 0.591 0.000
```

---

Question: Which formula does entry 3 have?
Answer: Ba2Hg

---

Question: What is the energy in the second record?
Answer: -61.51 eV per atom

---

Question: Which formula does entry 3 have?
Answer: Ba2Hg